Version A
Entry from the Alexandria database: crystalline Er2ThTl at its relaxed geometry (PBE).

Structure (CIF):
```
data_Er2ThTl
_chemical_formula_sum 'Er8 Th4 Tl4'
_cell_length_a 7.711
_cell_length_b 7.711
_cell_length_c 7.711
_cell_angle_alpha 90.00
_cell_angle_beta 90.00
_cell_angle_gamma 90.00
_symmetry_space_group_name_H-M 'F m -3 m'
_symmetry_Int_Tables_number 225
_symmetry_space_group_name_Hall '-F 4 2 3'
loop_
_atom_site_label
_atom_site_type_symbol
_atom_site_fract_x
_atom_site_fract_y
_atom_site_fract_z
Er1 Er 0.250 0.250 0.250
Th1 Th 0.000 0.000 0.000
Tl1 Tl 0.000 0.000 0.500
```

Results
**Magnetization**: 4.000 μB/cell
**Calculated volume**: 458.5 Å³ per cell

=====

Version B
Entry from the Alexandria database: crystalline Er2ThTl at its relaxed geometry (PBE).

Structure (CIF):
```
data_Er2ThTl
_chemical_formula_sum 'Er6 Th3 Tl3'
_cell_length_a 3.5620
_cell_length_b 3.5620
_cell_length_c 32.7220
_cell_angle_alpha 90.00
_cell_angle_beta 90.00
_cell_angle_gamma 120.00
_symmetry_space_group_name_H-M 'R 3 m'
_symmetry_Int_Tables_number 160
_symmetry_space_group_name_Hall 'R 3 -2"'
loop_
_atom_site_label
_atom_site_type_symbol
_atom_site_fract_x
_atom_site_fract_y
_atom_site_fract_z
Er1 Er 0.0000 0.0000 0.0000
Er2 Er 0.0000 0.0000 0.1768
Th1 Th 0.0000 0.0000 0.4219
Tl1 Tl 0.0000 0.0000 0.5882
```

Results
**Magnetization**: 0.001 μB/cell
**Calculated volume**: 359.6 Å³ per cell

=====

Which one is most stable, and which one is least stable? version B is the most stable of them, while version A is the least stable.